Density functional theory data (PBE-GGA) for AcLuAlIn after structural relaxation.

The structure in POSCAR format:
```
AcLuAlIn
1.0
0.000 3.838 3.838
3.838 0.000 3.838
3.838 3.838 0.000
Ac Lu Al In
1 1 1 1
Direct
0.000 0.000 0.000 Ac
0.500 0.500 0.500 Lu
0.750 0.750 0.750 Al
0.250 0.250 0.250 In
```

Calculated values
The total energy comes out at -4.07 eV per atom. The crystal system is cubic.